[1]
VASP calculation (PBE-GGA) on a geometry-optimized Sm2Sn3Pb3 structure.

```
Sm2Sn3Pb3
1.0
4.7927 0.0000 0.0000
0.0000 4.8386 0.0000
0.0000 0.0000 9.7575
Sm Sn Pb
2 3 3
direct
0.0000 0.0000 0.2419
0.0000 0.0000 0.7581
0.5000 0.5000 0.2477
0.5000 0.0000 0.0000
0.5000 0.5000 0.7523
0.0000 0.5000 0.5000
0.5000 0.0000 0.5000
0.0000 0.5000 0.0000
```

Results
As for the total energy: -4.475 eV/atom. The calculation puts the density of states at the Fermi level at 0.615 states/eV per atom. The magnetization is 0.00 μB per formula unit. The energy of formation from the pure elements comes out at -0.403 eV per atom. Its crystal system is orthorhombic.

[2]
VASP calculation (PBE-GGA) on a geometry-optimized ScCrP2 structure.

```
ScCrP2
1.0
3.6550 -0.1054 0.0731
1.9231 3.1100 0.0731
1.7354 0.9348 5.6637
P Cr Sc
2 1 1
direct
0.4899 0.4899 0.5306
0.0101 0.0101 0.9694
0.7500 0.7500 0.7500
0.2500 0.2500 0.2500
```

Results
As for the total energy: -7.557 eV/atom. The calculation puts the density of states at the Fermi level at 0.316 states/eV per atom. The magnetization is 2.62 μB per formula unit. The energy of formation from the pure elements comes out at -0.863 eV per atom. Its crystal system is monoclinic.

[3]
VASP calculation (PBE-GGA) on a geometry-optimized SrCuHg4 structure.

```
SrCuHg4
1.0
0.0000 4.2910 4.2910
4.2910 0.0000 4.2910
4.2910 4.2910 0.0000
Sr Hg Cu
1 4 1
direct
0.7500 0.7500 0.7500
0.3744 0.8769 0.3744
0.3744 0.3744 0.3744
0.8769 0.3744 0.3744
0.3744 0.3744 0.8769
0.0000 0.0000 0.0000
```

Results
As for the total energy: -1.144 eV/atom. The calculation puts the density of states at the Fermi level at 0.704 states/eV per atom. The magnetization is 0.00 μB per formula unit. The energy of formation from the pure elements comes out at 0.020 eV per atom. Its crystal system is cubic.

[4]
VASP calculation (PBE-GGA) on a geometry-optimized Cu2WAu structure.

```
Cu2WAu
1.0
5.4124 -0.0017 -0.0029
2.5500 4.7740 0.0029
-3.2157 -3.6632 2.3523
Au Cu W
1 2 1
direct
0.2500 0.7500 0.5000
0.5035 0.5035 0.0000
0.9965 0.9965 0.0000
0.7500 0.2500 0.5000
```

Results
As for the total energy: -5.669 eV/atom. The calculation puts the density of states at the Fermi level at 0.699 states/eV per atom. The magnetization is 0.00 μB per formula unit. The energy of formation from the pure elements comes out at 0.437 eV per atom. Its crystal system is orthorhombic.

[5]
VASP calculation (PBE-GGA) on a geometry-optimized In2Si2O7 structure.

```
In2Si2O7
1.0
5.5191 -0.0073 -0.0006
-1.4342 5.3295 -0.0006
0.6452 0.8406 4.6447
O Si In
7 2 2
direct
0.0000 0.0000 0.5000
0.9213 0.6106 0.2177
0.6102 0.6102 0.7151
0.3894 0.0787 0.7823
0.0787 0.3894 0.7823
0.6106 0.9213 0.2177
0.3898 0.3898 0.2849
0.7807 0.7807 0.4080
0.2193 0.2193 0.5920
0.3082 0.6918 0.0000
0.6918 0.3082 0.0000
```

Results
As for the total energy: -6.882 eV/atom. The calculation puts the density of states at the Fermi level at 0.000 states/eV per atom. The magnetization is 0.00 μB per formula unit. Its crystal system is monoclinic.

[6]
VASP calculation (PBE-GGA) on a geometry-optimized MgNi2Pd2 structure.

```
MgNi2Pd2
1.0
-0.1406 0.3468 -3.3056
-2.2710 -2.4258 -0.1579
-6.1826 3.5745 -1.0360
Ni Pd Mg
2 2 1
direct
0.7500 0.2500 0.5000
0.2500 0.7500 0.5000
0.3967 0.3967 0.2066
0.6033 0.6033 0.7934
0.0000 0.0000 0.0000
```

Results
As for the total energy: -4.753 eV/atom. The calculation puts the density of states at the Fermi level at 1.485 states/eV per atom. The magnetization is 1.42 μB per formula unit. The energy of formation from the pure elements comes out at -0.044 eV per atom. Its crystal system is tetragonal.

> Among the records above, which one has the lowest total energy?

ScCrP2

> The highest magnetization belongs to which entry?

ScCrP2